--- i ---
# CdC2 PBE relaxed
# - SG: No. 166
data_CdC2
_chemical_formula_sum 'Cd1 C2'
_cell_length_a 4.345
_cell_length_b 4.345
_cell_length_c 4.345
_cell_angle_alpha 49.38
_cell_angle_beta 49.38
_cell_angle_gamma 49.38
_symmetry_space_group_name_H-M 'P 1'
_symmetry_Int_Tables_number 1
loop_
_symmetry_equiv_pos_as_xyz
'x,y,z'
loop_
_atom_site_label
_atom_site_fract_x
_atom_site_fract_y
_atom_site_fract_z
Cd1 0.000 0.000 0.000
C1 0.445 0.445 0.445
C2 0.555 0.555 0.555

---

--- ii ---
# CdC2 PBE relaxed
# - SG: No. 8
data_CdC2
_chemical_formula_sum 'Cd2 C4'
_cell_length_a 3.884
_cell_length_b 3.884
_cell_length_c 8.950
_cell_angle_alpha 103.95
_cell_angle_beta 103.95
_cell_angle_gamma 41.20
_symmetry_space_group_name_H-M 'P 1'
_symmetry_Int_Tables_number 1
loop_
_symmetry_equiv_pos_as_xyz
'x,y,z'
loop_
_atom_site_label
_atom_site_fract_x
_atom_site_fract_y
_atom_site_fract_z
Cd1 0.000 0.000 0.000
Cd2 0.225 0.225 0.304
C1 0.075 0.075 0.572
C2 0.198 0.198 0.722
C3 0.756 0.756 0.789
C4 0.977 0.977 0.435

---

--- iii ---
# CdC2 PBE relaxed
# - SG: No. 74
data_CdC2
_chemical_formula_sum 'Cd2 C4'
_cell_length_a 7.456
_cell_length_b 7.456
_cell_length_c 7.456
_cell_angle_alpha 159.90
_cell_angle_beta 56.04
_cell_angle_gamma 128.28
_symmetry_space_group_name_H-M 'P 1'
_symmetry_Int_Tables_number 1
loop_
_symmetry_equiv_pos_as_xyz
'x,y,z'
loop_
_atom_site_label
_atom_site_fract_x
_atom_site_fract_y
_atom_site_fract_z
Cd1 0.258 0.008 0.250
Cd2 0.742 0.992 0.750
C1 0.243 0.250 0.994
C2 0.244 0.750 0.494
C3 0.756 0.250 0.506
C4 0.757 0.750 0.006

---

Computed stability ranking, most favorable first: iii, ii, i

---

--- i ---
# CdC2 PBE relaxed
# - SG: No. 194
data_CdC2
_chemical_formula_sum 'Cd2 C4'
_cell_length_a 4.319
_cell_length_b 4.319
_cell_length_c 4.594
_cell_angle_alpha 90.00
_cell_angle_beta 90.00
_cell_angle_gamma 120.00
_symmetry_space_group_name_H-M 'P 1'
_symmetry_Int_Tables_number 1
loop_
_symmetry_equiv_pos_as_xyz
'x,y,z'
loop_
_atom_site_label
_atom_site_fract_x
_atom_site_fract_y
_atom_site_fract_z
Cd1 0.333 0.667 0.250
Cd2 0.667 0.333 0.750
C1 0.000 0.000 0.000
C2 0.000 0.000 0.500
C3 0.333 0.667 0.750
C4 0.667 0.333 0.250

---

--- ii ---
# CdC2 PBE relaxed
# - SG: No. 65
data_CdC2
_chemical_formula_sum 'Cd3 C6'
_cell_length_a 5.945
_cell_length_b 5.945
_cell_length_c 7.575
_cell_angle_alpha 90.00
_cell_angle_beta 90.00
_cell_angle_gamma 105.09
_symmetry_space_group_name_H-M 'P 1'
_symmetry_Int_Tables_number 1
loop_
_symmetry_equiv_pos_as_xyz
'x,y,z'
loop_
_atom_site_label
_atom_site_fract_x
_atom_site_fract_y
_atom_site_fract_z
Cd1 0.000 0.000 0.000
Cd2 0.354 0.646 0.500
Cd3 0.646 0.354 0.500
C1 0.025 0.788 0.500
C2 0.212 0.975 0.500
C3 0.215 0.215 0.500
C4 0.785 0.785 0.500
C5 0.788 0.025 0.500
C6 0.975 0.212 0.500

---

Computed stability ranking, most favorable first: ii, i

---

--- i ---
# CdC2 PBE relaxed
# - SG: No. 129
data_CdC2
_chemical_formula_sum 'Cd2 C4'
_cell_length_a 3.021
_cell_length_b 3.021
_cell_length_c 8.098
_cell_angle_alpha 90.00
_cell_angle_beta 90.00
_cell_angle_gamma 90.00
_symmetry_space_group_name_H-M 'P 1'
_symmetry_Int_Tables_number 1
loop_
_symmetry_equiv_pos_as_xyz
'x,y,z'
loop_
_atom_site_label
_atom_site_fract_x
_atom_site_fract_y
_atom_site_fract_z
Cd1 0.250 0.250 0.131
Cd2 0.750 0.750 0.869
C1 0.250 0.250 0.411
C2 0.250 0.750 0.500
C3 0.750 0.250 0.500
C4 0.750 0.750 0.589

---

--- ii ---
# CdC2 PBE relaxed
# - SG: No. 123
data_CdC2
_chemical_formula_sum 'Cd1 C2'
_cell_length_a 2.510
_cell_length_b 2.510
_cell_length_c 5.849
_cell_angle_alpha 90.00
_cell_angle_beta 90.00
_cell_angle_gamma 90.00
_symmetry_space_group_name_H-M 'P 1'
_symmetry_Int_Tables_number 1
loop_
_symmetry_equiv_pos_as_xyz
'x,y,z'
loop_
_atom_site_label
_atom_site_fract_x
_atom_site_fract_y
_atom_site_fract_z
Cd1 0.000 0.000 0.000
C1 0.000 0.500 0.500
C2 0.500 0.000 0.500

---

--- iii ---
# CdC2 PBE relaxed
# - SG: No. 205
data_CdC2
_chemical_formula_sum 'Cd4 C8'
_cell_length_a 5.548
_cell_length_b 5.548
_cell_length_c 5.548
_cell_angle_alpha 90.00
_cell_angle_beta 90.00
_cell_angle_gamma 90.00
_symmetry_space_group_name_H-M 'P 1'
_symmetry_Int_Tables_number 1
loop_
_symmetry_equiv_pos_as_xyz
'x,y,z'
loop_
_atom_site_label
_atom_site_fract_x
_atom_site_fract_y
_atom_site_fract_z
Cd1 0.000 0.000 0.000
Cd2 0.000 0.500 0.500
Cd3 0.500 0.000 0.500
Cd4 0.500 0.500 0.000
C1 0.066 0.566 0.934
C2 0.066 0.934 0.434
C3 0.434 0.066 0.934
C4 0.434 0.434 0.434
C5 0.566 0.566 0.566
C6 0.566 0.934 0.066
C7 0.934 0.066 0.566
C8 0.934 0.434 0.066

---

Computed stability ranking, most favorable first: iii, i, ii

---

--- i ---
# CdC2 PBE relaxed
# - SG: No. 12
data_CdC2
_chemical_formula_sum 'Cd2 C4'
_cell_length_a 6.949
_cell_length_b 6.949
_cell_length_c 4.648
_cell_angle_alpha 90.32
_cell_angle_beta 90.32
_cell_angle_gamma 23.07
_symmetry_space_group_name_H-M 'P 1'
_symmetry_Int_Tables_number 1
loop_
_symmetry_equiv_pos_as_xyz
'x,y,z'
loop_
_atom_site_label
_atom_site_fract_x
_atom_site_fract_y
_atom_site_fract_z
Cd1 0.103 0.103 0.497
Cd2 0.897 0.897 0.503
C1 0.278 0.278 0.160
C2 0.278 0.278 0.841
C3 0.722 0.722 0.159
C4 0.722 0.722 0.840

---

--- ii ---
# CdC2 PBE relaxed
# - SG: No. 139
data_CdC2
_chemical_formula_sum 'Cd1 C2'
_cell_length_a 4.142
_cell_length_b 4.142
_cell_length_c 4.142
_cell_angle_alpha 115.85
_cell_angle_beta 115.85
_cell_angle_gamma 97.35
_symmetry_space_group_name_H-M 'P 1'
_symmetry_Int_Tables_number 1
loop_
_symmetry_equiv_pos_as_xyz
'x,y,z'
loop_
_atom_site_label
_atom_site_fract_x
_atom_site_fract_y
_atom_site_fract_z
Cd1 0.000 0.000 0.000
C1 0.386 0.386 0.000
C2 0.614 0.614 0.000

---

--- iii ---
# CdC2 PBE relaxed
# - SG: No. 63
data_CdC2
_chemical_formula_sum 'Cd2 C4'
_cell_length_a 10.725
_cell_length_b 10.725
_cell_length_c 5.595
_cell_angle_alpha 90.00
_cell_angle_beta 90.00
_cell_angle_gamma 166.11
_symmetry_space_group_name_H-M 'P 1'
_symmetry_Int_Tables_number 1
loop_
_symmetry_equiv_pos_as_xyz
'x,y,z'
loop_
_atom_site_label
_atom_site_fract_x
_atom_site_fract_y
_atom_site_fract_z
Cd1 0.229 0.771 0.750
Cd2 0.771 0.229 0.250
C1 0.067 0.933 0.250
C2 0.433 0.567 0.750
C3 0.567 0.433 0.250
C4 0.933 0.067 0.750

---

--- iv ---
# CdC2 PBE relaxed
# - SG: No. 227
data_CdC2
_chemical_formula_sum 'Cd2 C4'
_cell_length_a 4.635
_cell_length_b 4.635
_cell_length_c 4.635
_cell_angle_alpha 60.00
_cell_angle_beta 60.00
_cell_angle_gamma 60.00
_symmetry_space_group_name_H-M 'P 1'
_symmetry_Int_Tables_number 1
loop_
_symmetry_equiv_pos_as_xyz
'x,y,z'
loop_
_atom_site_label
_atom_site_fract_x
_atom_site_fract_y
_atom_site_fract_z
Cd1 0.125 0.125 0.125
Cd2 0.875 0.875 0.875
C1 0.000 0.500 0.500
C2 0.500 0.000 0.500
C3 0.500 0.500 0.000
C4 0.500 0.500 0.500

---

Computed stability ranking, most favorable first: iii, ii, i, iv

---

--- i ---
# CdC2 PBE relaxed
# - SG: No. 12
data_CdC2
_chemical_formula_sum 'Cd2 C4'
_cell_length_a 3.767
_cell_length_b 3.767
_cell_length_c 9.398
_cell_angle_alpha 109.61
_cell_angle_beta 109.61
_cell_angle_gamma 40.81
_symmetry_space_group_name_H-M 'P 1'
_symmetry_Int_Tables_number 1
loop_
_symmetry_equiv_pos_as_xyz
'x,y,z'
loop_
_atom_site_label
_atom_site_fract_x
_atom_site_fract_y
_atom_site_fract_z
Cd1 0.188 0.188 0.348
Cd2 0.812 0.812 0.652
C1 0.160 0.160 0.800
C2 0.231 0.231 0.957
C3 0.769 0.769 0.043
C4 0.840 0.840 0.200

---

--- ii ---
# CdC2 PBE relaxed
# - SG: No. 225
data_CdC2
_chemical_formula_sum 'Cd1 C2'
_cell_length_a 3.839
_cell_length_b 3.839
_cell_length_c 3.839
_cell_angle_alpha 60.00
_cell_angle_beta 60.00
_cell_angle_gamma 60.00
_symmetry_space_group_name_H-M 'P 1'
_symmetry_Int_Tables_number 1
loop_
_symmetry_equiv_pos_as_xyz
'x,y,z'
loop_
_atom_site_label
_atom_site_fract_x
_atom_site_fract_y
_atom_site_fract_z
Cd1 0.000 0.000 0.000
C1 0.250 0.250 0.250
C2 0.750 0.750 0.750

---

--- iii ---
# CdC2 PBE relaxed
# - SG: No. 123
data_CdC2
_chemical_formula_sum 'Cd1 C2'
_cell_length_a 3.324
_cell_length_b 3.324
_cell_length_c 4.401
_cell_angle_alpha 90.00
_cell_angle_beta 90.00
_cell_angle_gamma 90.00
_symmetry_space_group_name_H-M 'P 1'
_symmetry_Int_Tables_number 1
loop_
_symmetry_equiv_pos_as_xyz
'x,y,z'
loop_
_atom_site_label
_atom_site_fract_x
_atom_site_fract_y
_atom_site_fract_z
Cd1 0.000 0.000 0.000
C1 0.000 0.000 0.500
C2 0.500 0.500 0.000

---

--- iv ---
# CdC2 PBE relaxed
# - SG: No. 141
data_CdC2
_chemical_formula_sum 'Cd2 C4'
_cell_length_a 10.848
_cell_length_b 10.848
_cell_length_c 10.848
_cell_angle_alpha 161.35
_cell_angle_beta 161.35
_cell_angle_gamma 26.50
_symmetry_space_group_name_H-M 'P 1'
_symmetry_Int_Tables_number 1
loop_
_symmetry_equiv_pos_as_xyz
'x,y,z'
loop_
_atom_site_label
_atom_site_fract_x
_atom_site_fract_y
_atom_site_fract_z
Cd1 0.375 0.625 0.750
Cd2 0.625 0.375 0.250
C1 0.095 0.845 0.250
C2 0.155 0.905 0.250
C3 0.845 0.095 0.750
C4 0.905 0.155 0.750

---

Computed stability ranking, most favorable first: i, iv, ii, iii

---

--- i ---
# Cd3C PBE relaxed
# - SG: No. 139
data_Cd3C
_chemical_formula_sum 'Cd3 C1'
_cell_length_a 5.076
_cell_length_b 5.076
_cell_length_c 5.076
_cell_angle_alpha 130.86
_cell_angle_beta 130.86
_cell_angle_gamma 72.03
_symmetry_space_group_name_H-M 'P 1'
_symmetry_Int_Tables_number 1
loop_
_symmetry_equiv_pos_as_xyz
'x,y,z'
loop_
_atom_site_label
_atom_site_fract_x
_atom_site_fract_y
_atom_site_fract_z
Cd1 0.000 0.000 0.000
Cd2 0.250 0.750 0.500
Cd3 0.750 0.250 0.500
C1 0.500 0.500 0.000

---

--- ii ---
# Cd3C PBE relaxed
# - SG: No. 223
data_Cd3C
_chemical_formula_sum 'Cd6 C2'
_cell_length_a 5.324
_cell_length_b 5.324
_cell_length_c 5.324
_cell_angle_alpha 90.00
_cell_angle_beta 90.00
_cell_angle_gamma 90.00
_symmetry_space_group_name_H-M 'P 1'
_symmetry_Int_Tables_number 1
loop_
_symmetry_equiv_pos_as_xyz
'x,y,z'
loop_
_atom_site_label
_atom_site_fract_x
_atom_site_fract_y
_atom_site_fract_z
Cd1 0.000 0.250 0.500
Cd2 0.000 0.750 0.500
Cd3 0.250 0.500 0.000
Cd4 0.500 0.000 0.250
Cd5 0.500 0.000 0.750
Cd6 0.750 0.500 0.000
C1 0.000 0.000 0.000
C2 0.500 0.500 0.500

---

Computed stability ranking, most favorable first: i, ii

---

--- i ---
# Cd3C PBE relaxed
# - SG: No. 115
data_Cd3C
_chemical_formula_sum 'Cd3 C1'
_cell_length_a 4.152
_cell_length_b 4.152
_cell_length_c 5.920
_cell_angle_alpha 90.00
_cell_angle_beta 90.00
_cell_angle_gamma 90.00
_symmetry_space_group_name_H-M 'P 1'
_symmetry_Int_Tables_number 1
loop_
_symmetry_equiv_pos_as_xyz
'x,y,z'
loop_
_atom_site_label
_atom_site_fract_x
_atom_site_fract_y
_atom_site_fract_z
Cd1 0.000 0.000 0.000
Cd2 0.000 0.500 0.615
Cd3 0.500 0.000 0.385
C1 0.500 0.500 0.500

---

--- ii ---
# Cd3C PBE relaxed
# - SG: No. 44
data_Cd3C
_chemical_formula_sum 'Cd3 C1'
_cell_length_a 5.431
_cell_length_b 5.431
_cell_length_c 5.431
_cell_angle_alpha 147.01
_cell_angle_beta 72.46
_cell_angle_gamma 117.55
_symmetry_space_group_name_H-M 'P 1'
_symmetry_Int_Tables_number 1
loop_
_symmetry_equiv_pos_as_xyz
'x,y,z'
loop_
_atom_site_label
_atom_site_fract_x
_atom_site_fract_y
_atom_site_fract_z
Cd1 0.000 0.000 0.000
Cd2 0.330 0.514 0.816
Cd3 0.697 0.514 0.184
C1 0.338 0.838 0.500

---

--- iii ---
# Cd3C PBE relaxed
# - SG: No. 225
data_Cd3C
_chemical_formula_sum 'Cd3 C1'
_cell_length_a 4.708
_cell_length_b 4.708
_cell_length_c 4.708
_cell_angle_alpha 60.00
_cell_angle_beta 60.00
_cell_angle_gamma 60.00
_symmetry_space_group_name_H-M 'P 1'
_symmetry_Int_Tables_number 1
loop_
_symmetry_equiv_pos_as_xyz
'x,y,z'
loop_
_atom_site_label
_atom_site_fract_x
_atom_site_fract_y
_atom_site_fract_z
Cd1 0.000 0.000 0.000
Cd2 0.250 0.250 0.250
Cd3 0.750 0.750 0.750
C1 0.500 0.500 0.500

---

Computed stability ranking, most favorable first: i, ii, iii

---

--- i ---
# Cd5C PBE relaxed
# - SG: No. 191
data_Cd5C
_chemical_formula_sum 'Cd5 C1'
_cell_length_a 5.505
_cell_length_b 5.505
_cell_length_c 5.323
_cell_angle_alpha 90.00
_cell_angle_beta 90.00
_cell_angle_gamma 120.00
_symmetry_space_group_name_H-M 'P 1'
_symmetry_Int_Tables_number 1
loop_
_symmetry_equiv_pos_as_xyz
'x,y,z'
loop_
_atom_site_label
_atom_site_fract_x
_atom_site_fract_y
_atom_site_fract_z
Cd1 0.000 0.500 0.000
Cd2 0.333 0.667 0.500
Cd3 0.500 0.000 0.000
Cd4 0.500 0.500 0.000
Cd5 0.667 0.333 0.500
C1 0.000 0.000 0.500

---

--- ii ---
# Cd5C PBE relaxed
# - SG: No. 8
data_Cd5C
_chemical_formula_sum 'Cd5 C1'
_cell_length_a 5.691
_cell_length_b 5.691
_cell_length_c 7.555
_cell_angle_alpha 105.86
_cell_angle_beta 105.86
_cell_angle_gamma 32.04
_symmetry_space_group_name_H-M 'P 1'
_symmetry_Int_Tables_number 1
loop_
_symmetry_equiv_pos_as_xyz
'x,y,z'
loop_
_atom_site_label
_atom_site_fract_x
_atom_site_fract_y
_atom_site_fract_z
Cd1 0.000 0.000 0.000
Cd2 0.277 0.277 0.200
Cd3 0.374 0.374 0.638
Cd4 0.576 0.576 0.400
Cd5 0.694 0.694 0.826
C1 0.907 0.907 0.412

---

--- iii ---
# Cd5C PBE relaxed
# - SG: No. 123
data_Cd5C
_chemical_formula_sum 'Cd5 C1'
_cell_length_a 3.071
_cell_length_b 3.071
_cell_length_c 12.622
_cell_angle_alpha 90.00
_cell_angle_beta 90.00
_cell_angle_gamma 90.00
_symmetry_space_group_name_H-M 'P 1'
_symmetry_Int_Tables_number 1
loop_
_symmetry_equiv_pos_as_xyz
'x,y,z'
loop_
_atom_site_label
_atom_site_fract_x
_atom_site_fract_y
_atom_site_fract_z
Cd1 0.000 0.000 0.000
Cd2 0.000 0.000 0.383
Cd3 0.000 0.000 0.617
Cd4 0.500 0.500 0.192
Cd5 0.500 0.500 0.808
C1 0.500 0.500 0.500

---

--- iv ---
# Cd5C PBE relaxed
# - SG: No. 216
data_Cd5C
_chemical_formula_sum 'Cd5 C1'
_cell_length_a 5.697
_cell_length_b 5.697
_cell_length_c 5.697
_cell_angle_alpha 60.00
_cell_angle_beta 60.00
_cell_angle_gamma 60.00
_symmetry_space_group_name_H-M 'P 1'
_symmetry_Int_Tables_number 1
loop_
_symmetry_equiv_pos_as_xyz
'x,y,z'
loop_
_atom_site_label
_atom_site_fract_x
_atom_site_fract_y
_atom_site_fract_z
Cd1 0.000 0.000 0.000
Cd2 0.126 0.625 0.625
Cd3 0.625 0.126 0.625
Cd4 0.625 0.625 0.126
Cd5 0.625 0.625 0.625
C1 0.250 0.250 0.250

---

Computed stability ranking, most favorable first: ii, iii, iv, i